The following is a DFT calculation (PBE) of a relaxed structure of ZnHgRu2.

Properties
V: 63 Å³/cell
D(E_F): 4.20 states/eV/f.u.
Crystal system: tetragonal
Calculated formation energy: 0.41 eV per atom
Total magnetic moment: 2.21 Bohr magnetons per cell
Total energy: -4.63 eV per atom
Relative energy among the computed polymorphs: 0.265 eV/atom

Unit cell a=3.124 b=3.124 c=6.463 alpha=90.00 beta=90.00 gamma=90.00
Each line ends with the local moment (μB).
Positions (direct):
1 Hg 0.500 0.500 0.750  0.02
2 Ru 0.000 0.000 0.037  1.06
3 Ru 0.000 0.000 0.463  1.06
4 Zn 0.500 0.500 0.250  0.00